! Sr3GeAs2Au6 PBE relaxed; values from VASP
! DOS at the Fermi energy ... 0.289 states/eV/atom
! DFT total energy ... -3.743 eV/atom
! Total magnetic moment ... 0.00 Bohr magnetons per cell
! Theoretical density ... 8.80 g/cm³
! Formation energy ... -6.3 eV/f.u.
! V ... 26.23 Å³ per atom
&SYSTEM
  ibrav = 0, nat = 12, ntyp = 4
/
ATOMIC_SPECIES
Sr 87.62 Sr.upf
Ge 72.64 Ge.upf
As 74.92 As.upf
Au 196.97 Au.upf
ATOMIC_POSITIONS crystal
Sr 0.000 0.000 0.000
Sr 0.333 0.667 0.679
Sr 0.667 0.333 0.321
Ge 0.000 0.000 0.500
As 0.333 0.667 0.099
As 0.667 0.333 0.901
Au 0.171 0.342 0.305
Au 0.171 0.829 0.305
Au 0.342 0.171 0.695
Au 0.658 0.829 0.305
Au 0.829 0.171 0.695
Au 0.829 0.658 0.695
CELL_PARAMETERS angstrom
6.667 0.000 0.000
-3.334 5.774 0.000
0.000 0.000 8.175

! InCu2Os PBE relaxed; values from VASP
! DOS at the Fermi energy ... 0.763 states/eV/atom
! DFT total energy ... -5.228 eV/atom
! Total magnetic moment ... 0.20 Bohr magnetons per cell
! Theoretical density ... 12.22 g/cm³
! Formation energy ... 1.2 eV/f.u.
! V ... 14.68 Å³ per atom
&SYSTEM
  ibrav = 0, nat = 4, ntyp = 3
/
ATOMIC_SPECIES
In 114.82 In.upf
Cu 63.55 Cu.upf
Os 190.23 Os.upf
ATOMIC_POSITIONS crystal
In 0.000 0.000 0.000
Cu 0.000 0.500 0.500
Cu 0.500 0.000 0.500
Os 0.500 0.500 0.000
CELL_PARAMETERS angstrom
3.950 0.000 0.000
0.000 3.950 0.000
0.000 0.000 3.763

! AlVHg2 PBE relaxed; values from VASP
! DOS at the Fermi energy ... 0.823 states/eV/atom
! DFT total energy ... -2.895 eV/atom
! Total magnetic moment ... 9.51 Bohr magnetons per cell
! Theoretical density ... 9.60 g/cm³
! Formation energy ... 1.9 eV/f.u.
! V ... 20.72 Å³ per atom
&SYSTEM
  ibrav = 0, nat = 16, ntyp = 3
/
ATOMIC_SPECIES
Al 26.98 Al.upf
V 50.94 V.upf
Hg 200.59 Hg.upf
ATOMIC_POSITIONS crystal
Al 0.000 0.000 0.000
Al 0.000 0.500 0.250
Al 0.500 0.000 0.750
Al 0.500 0.500 0.500
V 0.000 0.000 0.500
V 0.000 0.500 0.750
V 0.500 0.000 0.250
V 0.500 0.500 0.000
Hg 0.239 0.250 0.125
Hg 0.250 0.739 0.375
Hg 0.250 0.761 0.875
Hg 0.261 0.250 0.625
Hg 0.739 0.750 0.625
Hg 0.750 0.239 0.875
Hg 0.750 0.261 0.375
Hg 0.761 0.750 0.125
CELL_PARAMETERS angstrom
7.556 0.000 0.000
0.000 7.556 0.000
0.000 0.000 5.806

! PrAsRh PBE relaxed; values from VASP
! DOS at the Fermi energy ... 0.824 states/eV/atom
! DFT total energy ... -6.311 eV/atom
! Total magnetic moment ... 0.00 Bohr magnetons per cell
! Theoretical density ... 7.44 g/cm³
! Formation energy ... -2.2 eV/f.u.
! V ... 23.71 Å³ per atom
&SYSTEM
  ibrav = 0, nat = 12, ntyp = 3
/
ATOMIC_SPECIES
Pr 140.91 Pr.upf
As 74.92 As.upf
Rh 102.91 Rh.upf
ATOMIC_POSITIONS crystal
Pr 0.095 0.717 0.000
Pr 0.283 0.095 0.500
Pr 0.717 0.905 0.500
Pr 0.905 0.283 0.000
As 0.267 0.355 0.000
As 0.355 0.733 0.500
As 0.645 0.267 0.500
As 0.733 0.645 0.000
Rh 0.176 0.475 0.500
Rh 0.475 0.824 0.000
Rh 0.525 0.176 0.000
Rh 0.824 0.525 0.500
CELL_PARAMETERS angstrom
8.086 0.000 0.000
0.000 8.086 0.000
0.000 0.000 4.351